(1)
Pm4SmS5 after structural relaxation, computed with PBE.

CIF file:
```
data_Pm4SmS5
_chemical_formula_sum 'Pm4 Sm1 S5'
_space_group_name_H-M_alt 'P 1'
_space_group_IT_number 1
_cell_length_a 4.029
_cell_length_b 5.692
_cell_length_c 10.665
_cell_angle_alpha 105.48
_cell_angle_beta 100.89
_cell_angle_gamma 90.00
loop_
_space_group_symop_operation_xyz
'x,y,z'
loop_
_atom_site_label
_atom_site_fract_x
_atom_site_fract_y
_atom_site_fract_z
Pm1 0.400 0.400 0.800
Pm2 0.800 0.800 0.600
Pm3 0.200 0.200 0.400
Pm4 0.600 0.600 0.200
Sm1 0.000 0.000 0.000
S1 0.599 0.099 0.198
S2 0.800 0.300 0.600
S3 0.200 0.700 0.400
S4 0.000 0.500 0.000
S5 0.401 0.901 0.802
```

---

(2)
# LuHfW4 PBE optimized geometry
# **ΔH_f (0 K)**: -0.0406 eV per atom
data_LuHfW4
_chemical_formula_sum 'Lu1 Hf1 W4'
_space_group_name_H-M_alt 'P 1'
_space_group_IT_number 1
_cell_length_a 5.437
_cell_length_b 5.437
_cell_length_c 5.437
_cell_angle_alpha 60.00
_cell_angle_beta 60.00
_cell_angle_gamma 60.00
loop_
_space_group_symop_operation_xyz
'x,y,z'
loop_
_atom_site_label
_atom_site_fract_x
_atom_site_fract_y
_atom_site_fract_z
Lu1 0.250 0.250 0.250
Hf1 0.000 0.000 0.000
W1 0.625 0.625 0.126
W2 0.625 0.126 0.625
W3 0.625 0.625 0.625
W4 0.126 0.625 0.625

---

(3)
# Tb14TmSc PBE optimized geometry
# **ΔH_f (0 K)**: 0.0217 eV per atom
data_Tb14TmSc
_chemical_formula_sum 'Tb14 Tm1 Sc1'
_space_group_name_H-M_alt 'P 1'
_space_group_IT_number 1
_cell_length_a 7.085
_cell_length_b 7.085
_cell_length_c 9.988
_cell_angle_alpha 90.00
_cell_angle_beta 90.00
_cell_angle_gamma 90.00
loop_
_space_group_symop_operation_xyz
'x,y,z'
loop_
_atom_site_label
_atom_site_fract_x
_atom_site_fract_y
_atom_site_fract_z
Tb1 0.375 0.625 0.500
Tb2 0.875 0.125 0.500
Tb3 0.875 0.625 0.000
Tb4 0.875 0.625 0.500
Tb5 0.375 0.125 0.000
Tb6 0.375 0.125 0.500
Tb7 0.626 0.876 0.753
Tb8 0.626 0.876 0.247
Tb9 0.124 0.374 0.753
Tb10 0.124 0.374 0.247
Tb11 0.124 0.876 0.753
Tb12 0.124 0.876 0.247
Tb13 0.626 0.374 0.753
Tb14 0.626 0.374 0.247
Tm1 0.375 0.625 0.000
Sc1 0.875 0.125 0.000

---

(4)
# SrLaAl PBE optimized geometry
# **ΔH_f (0 K)**: 0.0084 eV per atom
data_SrLaAl
_chemical_formula_sum 'Sr1 La1 Al1'
_space_group_name_H-M_alt 'P 1'
_space_group_IT_number 1
_cell_length_a 5.414
_cell_length_b 5.414
_cell_length_c 3.842
_cell_angle_alpha 90.00
_cell_angle_beta 90.00
_cell_angle_gamma 120.00
loop_
_space_group_symop_operation_xyz
'x,y,z'
loop_
_atom_site_label
_atom_site_fract_x
_atom_site_fract_y
_atom_site_fract_z
Sr1 0.333 0.667 0.693
Al1 0.000 0.000 0.024
La1 0.667 0.333 0.283

---

(5)
TaVSb after structural relaxation, computed with PBE.

CIF file:
```
data_TaVSb
_chemical_formula_sum 'Ta1 V1 Sb1'
_space_group_name_H-M_alt 'P 1'
_space_group_IT_number 1
_cell_length_a 3.456
_cell_length_b 3.456
_cell_length_c 5.076
_cell_angle_alpha 109.90
_cell_angle_beta 109.90
_cell_angle_gamma 90.00
loop_
_space_group_symop_operation_xyz
'x,y,z'
loop_
_atom_site_label
_atom_site_fract_x
_atom_site_fract_y
_atom_site_fract_z
Sb1 0.331 0.331 0.662
V1 0.658 0.658 0.316
Ta1 0.011 0.011 0.022
```

---

(6)
# Mg3As PBE optimized geometry
# **ΔH_f (0 K)**: -0.1387 eV per atom
data_Mg3As
_chemical_formula_sum 'Mg3 As1'
_space_group_name_H-M_alt 'P 1'
_space_group_IT_number 1
_cell_length_a 5.289
_cell_length_b 5.289
_cell_length_c 3.165
_cell_angle_alpha 90.00
_cell_angle_beta 90.00
_cell_angle_gamma 110.18
loop_
_space_group_symop_operation_xyz
'x,y,z'
loop_
_atom_site_label
_atom_site_fract_x
_atom_site_fract_y
_atom_site_fract_z
As1 0.000 0.000 0.000
Mg1 0.000 0.500 0.500
Mg2 0.500 0.000 0.500
Mg3 0.500 0.500 0.000

---

(7)
AcHgTe after structural relaxation, computed with PBE.

CIF file:
```
data_AcHgTe
_chemical_formula_sum 'Ac1 Hg1 Te1'
_space_group_name_H-M_alt 'P 1'
_space_group_IT_number 1
_cell_length_a 4.309
_cell_length_b 4.309
_cell_length_c 6.075
_cell_angle_alpha 110.77
_cell_angle_beta 110.77
_cell_angle_gamma 90.00
loop_
_space_group_symop_operation_xyz
'x,y,z'
loop_
_atom_site_label
_atom_site_fract_x
_atom_site_fract_y
_atom_site_fract_z
Ac1 0.281 0.281 0.562
Te1 0.622 0.622 0.244
Hg1 0.947 0.947 0.894
```

---

(8)
BiMoBr2 after structural relaxation, computed with PBE.

CIF file:
```
data_BiMoBr2
_chemical_formula_sum 'Bi1 Mo1 Br2'
_space_group_name_H-M_alt 'P 1'
_space_group_IT_number 1
_cell_length_a 12.085
_cell_length_b 12.085
_cell_length_c 12.085
_cell_angle_alpha 15.87
_cell_angle_beta 15.87
_cell_angle_gamma 15.87
loop_
_space_group_symop_operation_xyz
'x,y,z'
loop_
_atom_site_label
_atom_site_fract_x
_atom_site_fract_y
_atom_site_fract_z
Mo1 0.500 0.500 0.500
Bi1 0.000 0.000 0.000
Br1 0.883 0.883 0.883
Br2 0.117 0.117 0.117
```

---

Number 1: VASP energy -0.47512 Ry/atom. Number 2: VASP energy -0.81499 Ry/atom. Number 3: VASP energy -0.34581 Ry/atom. Number 4: VASP energy -0.25300 Ry/atom. Number 5: VASP energy -0.61266 Ry/atom. Number 6: VASP energy -0.18353 Ry/atom. Number 7: VASP energy -0.24630 Ry/atom. Number 8: VASP energy -0.32573 Ry/atom.